First-principles (PBE-GGA) data for Zr2CrPb after structural relaxation, as listed in Alexandria.

Properties
The mass density is 8.3 g/cm3. The electronic total energy comes out at -7.336 eV/atom. The density of states at the Fermi level comes out at 1.223 states/eV per atom. As for the spin magnetization: 3.50 μB per formula unit.

CIF file:
```
data_Zr2CrPb
_symmetry_space_group_name_H-M 'C 1 2/m 1'
_symmetry_Int_Tables_number 12
_symmetry_space_group_name_Hall '-C 2y'
_cell_length_a 10.2847
_cell_length_b 3.1695
_cell_length_c 5.4514
_cell_angle_alpha 90.00
_cell_angle_beta 97.08
_cell_angle_gamma 90.00
loop_
_atom_site_label
_atom_site_type_symbol
_atom_site_fract_x
_atom_site_fract_y
_atom_site_fract_z
Zr1 Zr 0.2471 0.0000 0.2589
Cr1 Cr 0.0000 0.0000 0.5000
Pb1 Pb 0.0000 0.5000 0.0000
```

First-principles (PBE-GGA) data for NaZnAgCl4 after structural relaxation, as listed in Alexandria.

Properties
The mass density is 3.3 g/cm3. The electronic total energy comes out at -2.952 eV/atom. As for the uncorrected formation energy: -1119 meV/atom. The density of states at the Fermi level comes out at 0.000 states/eV per atom. As for the spin magnetization: 0.00 μB per formula unit.

CIF file:
```
data_NaZnAgCl4
_symmetry_space_group_name_H-M 'I m m a'
_symmetry_Int_Tables_number 74
_symmetry_space_group_name_Hall '-I 2b 2'
_cell_length_a 7.8067
_cell_length_b 7.9031
_cell_length_c 10.9144
_cell_angle_alpha 90.00
_cell_angle_beta 90.00
_cell_angle_gamma 90.00
loop_
_atom_site_label
_atom_site_type_symbol
_atom_site_fract_x
_atom_site_fract_y
_atom_site_fract_z
Na1 Na 0.0000 0.0000 0.0000
Zn1 Zn 0.0000 0.2500 0.3781
Ag1 Ag 0.2500 0.2500 0.7500
Cl1 Cl 0.0000 0.0095 0.2574
Cl2 Cl 0.2435 0.2500 0.4999
```

First-principles (PBE-GGA) data for BaSiPt2 after structural relaxation, as listed in Alexandria.

Properties
The mass density is 10.7 g/cm3. The electronic total energy comes out at -4.789 eV/atom. As for the uncorrected formation energy: 68 meV/atom. The density of states at the Fermi level comes out at 0.398 states/eV per atom. As for the spin magnetization: 0.00 μB per formula unit.

CIF file:
```
data_BaSiPt2
_symmetry_space_group_name_H-M 'I 4/m m m'
_symmetry_Int_Tables_number 139
_symmetry_space_group_name_Hall '-I 4 2'
_cell_length_a 5.2627
_cell_length_b 5.2627
_cell_length_c 6.2397
_cell_angle_alpha 90.00
_cell_angle_beta 90.00
_cell_angle_gamma 90.00
loop_
_atom_site_label
_atom_site_type_symbol
_atom_site_fract_x
_atom_site_fract_y
_atom_site_fract_z
Ba1 Ba 0.0000 0.0000 0.0000
Si1 Si 0.0000 0.0000 0.5000
Pt1 Pt 0.0000 0.5000 0.2500
```

First-principles (PBE-GGA) data for CeSc3Al4 after structural relaxation, as listed in Alexandria.

Properties
The mass density is 3.8 g/cm3. The electronic total energy comes out at -5.368 eV/atom. The density of states at the Fermi level comes out at 1.030 states/eV per atom. As for the spin magnetization: 0.74 μB per formula unit.

CIF file:
```
data_CeSc3Al4
_symmetry_space_group_name_H-M 'P m m a'
_symmetry_Int_Tables_number 51
_symmetry_space_group_name_Hall '-P 2a 2a'
_cell_length_a 9.8495
_cell_length_b 6.5571
_cell_length_c 5.1349
_cell_angle_alpha 90.00
_cell_angle_beta 90.00
_cell_angle_gamma 90.00
loop_
_atom_site_label
_atom_site_type_symbol
_atom_site_fract_x
_atom_site_fract_y
_atom_site_fract_z
Ce1 Ce 0.0000 0.0000 0.0000
Sc1 Sc 0.0000 0.5000 0.0000
Sc2 Sc 0.2500 0.0000 0.4027
Sc3 Sc 0.2500 0.5000 0.3807
Al1 Al 0.0000 0.2732 0.5000
Al2 Al 0.2500 0.2713 0.8759
```

First-principles (PBE-GGA) data for Zr3ZnMo after structural relaxation, as listed in Alexandria.

Properties
The mass density is 6.2 g/cm3. The electronic total energy comes out at -6.514 eV/atom. The density of states at the Fermi level comes out at 2.393 states/eV per atom. As for the spin magnetization: 0.00 μB per formula unit.

CIF file:
```
data_Zr3ZnMo
_symmetry_space_group_name_H-M 'P m -3 m'
_symmetry_Int_Tables_number 221
_symmetry_space_group_name_Hall '-P 4 2 3'
_cell_length_a 4.8856
_cell_length_b 4.8856
_cell_length_c 4.8856
_cell_angle_alpha 90.00
_cell_angle_beta 90.00
_cell_angle_gamma 90.00
loop_
_atom_site_label
_atom_site_type_symbol
_atom_site_fract_x
_atom_site_fract_y
_atom_site_fract_z
Zr1 Zr 0.0000 0.0000 0.5000
Zn1 Zn 0.0000 0.0000 0.0000
Mo1 Mo 0.5000 0.5000 0.5000
```

First-principles (PBE-GGA) data for NaFe2As2 after structural relaxation, as listed in Alexandria.

Properties
The mass density is 6.7 g/cm3. The electronic total energy comes out at -5.440 eV/atom. The density of states at the Fermi level comes out at 1.199 states/eV per atom. As for the spin magnetization: 0.87 μB per formula unit.

CIF file:
```
data_NaFe2As2
_symmetry_space_group_name_H-M 'P 4/m b m'
_symmetry_Int_Tables_number 127
_symmetry_space_group_name_Hall '-P 4 2ab'
_cell_length_a 7.1522
_cell_length_b 7.1522
_cell_length_c 2.7748
_cell_angle_alpha 90.00
_cell_angle_beta 90.00
_cell_angle_gamma 90.00
loop_
_atom_site_label
_atom_site_type_symbol
_atom_site_fract_x
_atom_site_fract_y
_atom_site_fract_z
Na1 Na 0.0000 0.0000 0.0000
Fe1 Fe 0.1324 0.3676 0.0000
As1 As 0.1569 0.6569 0.5000
```

First-principles (PBE-GGA) data for NaBi2I after structural relaxation, as listed in Alexandria.

Properties
The mass density is 7.3 g/cm3. The electronic total energy comes out at -2.475 eV/atom. As for the uncorrected formation energy: 183 meV/atom. The density of states at the Fermi level comes out at 0.630 states/eV per atom. As for the spin magnetization: 0.00 μB per formula unit.

CIF file:
```
data_NaBi2I
_symmetry_space_group_name_H-M 'F m -3 m'
_symmetry_Int_Tables_number 225
_symmetry_space_group_name_Hall '-F 4 2 3'
_cell_length_a 8.0266
_cell_length_b 8.0266
_cell_length_c 8.0266
_cell_angle_alpha 90.00
_cell_angle_beta 90.00
_cell_angle_gamma 90.00
loop_
_atom_site_label
_atom_site_type_symbol
_atom_site_fract_x
_atom_site_fract_y
_atom_site_fract_z
Na1 Na 0.0000 0.0000 0.0000
Bi1 Bi 0.2500 0.2500 0.2500
I1 I 0.0000 0.0000 0.5000
```

First-principles (PBE-GGA) data for Cs3RbMn2Br9 after structural relaxation, as listed in Alexandria.

Properties
The mass density is 3.8 g/cm3. The electronic total energy comes out at -3.752 eV/atom. As for the uncorrected formation energy: -1291 meV/atom. The density of states at the Fermi level comes out at 0.163 states/eV per atom. As for the spin magnetization: 9.00 μB per formula unit.

CIF file:
```
data_Cs3RbMn2Br9
_symmetry_space_group_name_H-M 'P -3 m 1'
_symmetry_Int_Tables_number 164
_symmetry_space_group_name_Hall '-P 3 2"'
_cell_length_a 7.7590
_cell_length_b 7.7590
_cell_length_c 10.8855
_cell_angle_alpha 90.00
_cell_angle_beta 90.00
_cell_angle_gamma 120.00
loop_
_atom_site_label
_atom_site_type_symbol
_atom_site_fract_x
_atom_site_fract_y
_atom_site_fract_z
Cs1 Cs 0.0000 0.0000 0.0000
Cs2 Cs 0.3333 0.6667 0.7255
Rb1 Rb 0.0000 0.0000 0.5000
Mn1 Mn 0.3333 0.6667 0.1525
Br1 Br 0.0000 0.5000 0.0000
Br2 Br 0.1746 0.3493 0.2785
```